Record 1
BeSi2P after structural relaxation, computed with PBE.

a = 5.939 Å, b = 5.939 Å, c = 5.939 Å
α = 90.00°, β = 90.00°, γ = 90.00°
Space group F-43m (No. 216)
One atom of each set of equivalent atoms:
Be 0.000 0.000 0.000 x4
Si 0.000 0.000 0.500 x4
Si 0.250 0.250 0.250 x4
P 0.250 0.250 0.750 x4

Uncorrected formation energy   0.595 eV/atom
Magnetic moment   0.0 μB/cell

Record 2
Be2SiP after structural relaxation, computed with PBE.

a = 7.035 Å, b = 3.318 Å, c = 5.204 Å
α = 90.00°, β = 112.56°, γ = 90.00°
Space group Cm (No. 8)
One atom of each set of equivalent atoms:
Be 0.000 0.000 0.000 x2
Be 0.239 0.500 0.591 x2
Si 0.490 0.500 0.444 x2
P 0.266 0.000 0.883 x2

Uncorrected formation energy   0.103 eV/atom
Magnetic moment   0.0 μB/cell

Record 3
BeSi2P after structural relaxation, computed with PBE.

a = 2.494 Å, b = 2.494 Å, c = 8.515 Å
α = 90.00°, β = 90.00°, γ = 90.00°
Space group P4/mmm (No. 123)
One atom of each set of equivalent atoms:
Be 0.000 0.000 0.000 x1
Si 0.500 0.500 0.207 x2
P 0.000 0.000 0.500 x1

Uncorrected formation energy   0.458 eV/atom
Magnetic moment   0.0 μB/cell

Q: What is the formula in the first record?
A: BeSi2P

Q: Among the records above, which one has the lowest uncorrected formation energy?
A: Be2SiP